# 1
Li4AlRu: relaxed, PBE.

Output
size of the total moment = 0.00 μB per atom
ρ = 3.300 g/cm³
DOS at the Fermi energy = 3.35 states/eV/cell
DFT formation energy = 0.10 eV per atom

abc: 4.804 4.804 4.804
angles: 60.00 60.00 60.00
Fractional coordinates of all 6 atoms:
Li (0.123, 0.123, 0.123)
Li (0.123, 0.123, 0.630)
Li (0.123, 0.630, 0.123)
Li (0.630, 0.123, 0.123)
Al (0.500, 0.500, 0.500)
Ru (0.750, 0.750, 0.750)

# 2
HSe3S: relaxed, PBE.

Output
size of the total moment = 0.14 μB per atom
excess energy over the best structure of this formula in the dataset = 2.82 kcal/mol of atoms
ρ = 3.807 g/cm³
DOS at the Fermi energy = 4.87 states/eV/cell

abc: 4.902 4.902 4.902
angles: 90.00 90.00 90.00
Fractional coordinates of all 5 atoms:
H (0.000, 0.000, 0.000)
Se (0.000, 0.500, 0.500)
Se (0.500, 0.000, 0.500)
Se (0.500, 0.500, 0.000)
S (0.500, 0.500, 0.500)

# 3
In2SiAu: relaxed, PBE.

Output
size of the total moment = 0.00 μB per atom
ρ = 8.250 g/cm³
DOS at the Fermi energy = 1.43 states/eV/cell
ΔE_f (raw) = 0.14 eV per atom

abc: 4.113 4.113 6.814
angles: 105.23 105.23 56.29
Fractional coordinates of all 4 atoms:
In (0.247, 0.247, 0.239)
In (0.753, 0.753, 0.761)
Si (0.500, 0.500, 0.000)
Au (0.000, 0.000, 0.500)

# 4
PrYCuGe: relaxed, PBE.

Output
size of the total moment = 0.00 μB per atom
ρ = 6.517 g/cm³
DOS at the Fermi energy = 3.32 states/eV/cell
DFT formation energy = -0.47 eV per atom

abc: 5.090 5.090 5.090
angles: 60.00 60.00 60.00
Fractional coordinates of all 4 atoms:
Pr (0.000, 0.000, 0.000)
Y (0.500, 0.500, 0.500)
Cu (0.250, 0.250, 0.250)
Ge (0.750, 0.750, 0.750)

# 5
PaPdPb2O8: relaxed, PBE.

Output
size of the total moment = 0.00 μB per atom
ρ = 8.321 g/cm³
DOS at the Fermi energy = 1.36 states/eV/cell
ΔE_f (raw) = -1.49 eV per atom

abc: 5.147 5.147 6.627
angles: 90.00 90.00 90.13
Fractional coordinates of all 12 atoms:
Pa (0.000, 0.000, 0.000)
Pd (0.000, 0.000, 0.500)
Pb (0.500, 0.500, 0.261)
Pb (0.500, 0.500, 0.739)
O (0.182, 0.818, 0.256)
O (0.182, 0.818, 0.744)
O (0.292, 0.292, 0.500)
O (0.309, 0.309, 0.000)
O (0.691, 0.691, 0.000)
O (0.708, 0.708, 0.500)
O (0.818, 0.182, 0.256)
O (0.818, 0.182, 0.744)

# 6
Tb2PrY: relaxed, PBE.

Output
size of the total moment = 0.00 μB per atom
excess energy over the best structure of this formula in the dataset = 0.32 kcal/mol of atoms
ρ = 6.877 g/cm³
DOS at the Fermi energy = 6.08 states/eV/cell
DFT formation energy = 0.02 eV per atom

abc: 5.092 5.092 5.100
angles: 90.00 90.00 90.00
Fractional coordinates of all 4 atoms:
Tb (0.000, 0.500, 0.000)
Tb (0.500, 0.000, 0.000)
Pr (0.000, 0.000, 0.500)
Y (0.500, 0.500, 0.500)

Number 1: raw total energy -3.342 eV/atom. Number 2: raw total energy -2.520 eV/atom. Number 3: raw total energy -3.404 eV/atom. Number 4: raw total energy -5.460 eV/atom. Number 5: raw total energy -6.634 eV/atom. Number 6: raw total energy -5.105 eV/atom.